No. 1
Density functional theory data (PBE) for a relaxed CsNdTm crystal.

abc: 8.606 8.606 8.606
angles: 90.00 90.00 90.00
Space group F-43m (No. 216)
Inequivalent atoms, fractional coordinates:
Cs: 0.000 0.000 0.000 x4
Nd: 0.000 0.000 0.500 x4
Tm: 0.250 0.250 0.250 x4

Final energy: -2.157 eV per atom

=====

No. 2
Density functional theory data (PBE) for a relaxed DyZr crystal.

abc: 7.000 5.796 5.343
angles: 90.00 90.00 90.00
Space group Pbcm (No. 57)
Inequivalent atoms, fractional coordinates:
Dy: 0.144 0.068 0.250 x4
Zr: 0.397 0.596 0.250 x4

Energy relative to the elements: 4 kJ per mole of atoms

=====

No. 3
Density functional theory data (PBE) for a relaxed Tc3Pd6Pt crystal.

abc: 7.190 7.190 9.595
angles: 90.00 90.00 90.00
Space group I4/mmm (No. 139)
Inequivalent atoms, fractional coordinates:
Tc: 0.000 0.000 0.000 x2
Tc: 0.000 0.500 0.250 x4
Pd: 0.000 0.000 0.244 x4
Pd: 0.000 0.332 0.500 x8
Pt: 0.000 0.000 0.500 x2

Energy relative to the elements: 167 kJ per mole of atoms

=====

No. 4
Density functional theory data (PBE) for a relaxed Gd2DyGa3NiGe2 crystal.

abc: 4.174 12.128 7.015
angles: 90.00 90.00 90.00
Space group Amm2 (No. 38)
Inequivalent atoms, fractional coordinates:
Gd: 0.000 0.200 0.000 x4
Dy: 0.000 0.000 0.599 x2
Ga: 0.500 0.000 0.971 x2
Ga: 0.500 0.114 0.315 x4
Ni: 0.000 0.000 0.201 x2
Ge: 0.500 0.166 0.700 x4

Final energy: -4.924 eV per atom

=====

No. 5
Density functional theory data (PBE) for a relaxed LaYCdIn crystal.

abc: 7.633 7.633 7.633
angles: 90.00 90.00 90.00
Space group F-43m (No. 216)
Inequivalent atoms, fractional coordinates:
La: 0.000 0.000 0.000 x4
Y: 0.250 0.250 0.750 x4
Cd: 0.250 0.250 0.250 x4
In: 0.000 0.000 0.500 x4

Excess energy over the best structure of this formula in the dataset: 407.3 meV per atom

=====

No. 6
Density functional theory data (PBE) for a relaxed RbNiPt crystal.

abc: 6.688 6.688 6.688
angles: 90.00 90.00 90.00
Space group F-43m (No. 216)
Inequivalent atoms, fractional coordinates:
Rb: 0.000 0.000 0.000 x4
Ni: 0.000 0.000 0.500 x4
Pt: 0.250 0.250 0.750 x4

Excess energy over the best structure of this formula in the dataset: 76.8 meV per atom